Record 1
K3Zr2TiTe6: relaxed, GGA-PBE. Values from VASP.

```
&SYSTEM
  ibrav = 0, nat = 12, ntyp = 4
/
ATOMIC_SPECIES
Te 127.60 Te.upf
K 39.10 K.upf
Ti 47.87 Ti.upf
Zr 91.22 Zr.upf
ATOMIC_POSITIONS crystal
Te 0.393 0.066 0.200
Te 0.066 0.393 0.200
Te 0.607 0.934 0.800
K 0.170 0.830 0.500
Ti 0.000 0.000 0.000
Te 0.742 0.742 0.202
Te 0.934 0.607 0.800
Zr 0.335 0.665 0.000
K 0.830 0.170 0.500
Te 0.258 0.258 0.798
Zr 0.665 0.335 0.000
K 0.500 0.500 0.500
CELL_PARAMETERS angstrom
7.224 -0.002 0.000
-3.612 6.256 0.000
-1.205 -2.086 8.360
```

Crystal system: monoclinic
ρ, Mg/m³: 4.893
DOS at the Fermi energy, states/eV per atom: 0.5837
Uncorrected formation energy, eV/atom: -0.92
Calculated total energy, eV/atom: -4.85

=====

Record 2
CrIn2Os: relaxed, GGA-PBE. Values from VASP.

```
&SYSTEM
  ibrav = 0, nat = 4, ntyp = 3
/
ATOMIC_SPECIES
In 114.82 In.upf
Cr 52.00 Cr.upf
Os 190.23 Os.upf
ATOMIC_POSITIONS crystal
In 0.243 0.243 0.243
Cr 0.759 0.759 0.759
Os 0.489 0.489 0.489
In 0.009 0.009 0.009
CELL_PARAMETERS angstrom
9.268 -0.052 -0.031
8.797 2.918 -0.031
8.797 1.395 2.562
```

Crystal system: trigonal
ρ, Mg/m³: 10.992
Formation enthalpy at 0 K, meV per atom: 424
DOS at the Fermi energy, states/eV per atom: 0.5995
Calculated total energy, eV/atom: -6.16

=====

Record 3
Nd2Sn2Ru: relaxed, GGA-PBE. Values from VASP.

```
&SYSTEM
  ibrav = 0, nat = 10, ntyp = 3
/
ATOMIC_SPECIES
Sn 118.71 Sn.upf
Ru 101.07 Ru.upf
Nd 144.24 Nd.upf
ATOMIC_POSITIONS crystal
Sn 0.660 0.228 0.449
Ru 0.722 0.889 0.670
Sn 0.340 0.772 0.551
Nd 0.812 0.252 0.126
Sn 0.524 0.833 0.119
Nd 0.004 0.662 0.330
Nd 0.996 0.338 0.670
Sn 0.475 0.167 0.881
Ru 0.278 0.111 0.330
Nd 0.188 0.748 0.874
CELL_PARAMETERS angstrom
4.520 -0.001 -0.001
2.258 5.687 0.003
2.256 0.836 10.165
```

Crystal system: triclinic
ρ, Mg/m³: 7.967
Formation enthalpy at 0 K, meV per atom: -598
DOS at the Fermi energy, states/eV per atom: 0.8912
Calculated total energy, eV/atom: -5.96

=====

DOS at the Fermi energy of number 3 (Nd2Sn2Ru)? 0.8912 states/eV per atom